Here is SrHgSN2 after structural relaxation from Alexandria via LeMat-Bulk. Energies are from PBE-GGA.

Unit cell a=4.403 b=4.403 c=5.272 alpha=90.00 beta=90.00 gamma=90.00
Each line ends with the local moment (μB).
Sites, in units of the cell vectors:
Sr: 0.500 0.500 0.500  0.00
S: 0.000 0.000 0.500  0.13
Hg: 0.000 0.000 0.000  0.06
N: 0.000 0.500 0.000  0.92
N: 0.500 0.000 0.000  0.92

Relative energy among the computed polymorphs (meV/atom): 0.0
Space group: P4/mmm (123)
Formation energy (no corrections) (meV/atom): 845